Run i
VASP calculation (PBE) on a relaxed structure of PrZnPdAu.

a b c (Å): 4.907 4.907 4.907
angles (deg): 60.00 60.00 60.00
Fractional coordinates of all 4 atoms:
Pr  0.500  0.500  0.500
Zn  0.000  0.000  0.000
Au  0.250  0.250  0.250
Pd  0.750  0.750  0.750

Values from the calculation:
The crystal system is cubic. The value obtained for the total magnetization is 0.00 Bohr magnetons per cell. As for the symmetry: No. 216.

***

Run ii
VASP calculation (PBE) on a relaxed structure of PrZnPdAu.

a b c (Å): 4.535 4.522 5.473
angles (deg): 114.41 90.00 120.09
Fractional coordinates of all 4 atoms:
Pr  0.619  0.239  0.500
Zn  0.108  0.215  0.965
Pd  0.406  0.811  0.859
Au  0.834  0.668  0.143

Values from the calculation:
The crystal system is monoclinic. The value obtained for the total magnetization is 0.00 Bohr magnetons per cell. As for the symmetry: No. 8.

***

Which is the most stable structure? run ii is the most stable.

***

Run i
VASP calculation (PBE) on a relaxed structure of Pd8PtAu3.

a b c (Å): 4.897 4.902 8.512
angles (deg): 84.40 72.96 80.45
Fractional coordinates of all 12 atoms:
Pd  0.793  0.874  0.956
Pd  0.543  0.119  0.707
Pd  0.962  0.369  0.788
Pd  0.288  0.376  0.462
Pd  0.707  0.625  0.542
Pd  0.041  0.625  0.208
Pd  0.209  0.120  0.041
Pd  0.456  0.871  0.294
Pt  0.125  0.872  0.625
Au  0.374  0.621  0.874
Au  0.876  0.124  0.376
Au  0.625  0.372  0.125

Values from the calculation:
The crystal system is triclinic. The value obtained for the total magnetization is 0.00 Bohr magnetons per cell. As for the symmetry: No. 2.

***

Run ii
VASP calculation (PBE) on a relaxed structure of Pd8PtAu3.

a b c (Å): 7.439 7.439 7.439
angles (deg): 136.31 97.96 97.96
Fractional coordinates of all 12 atoms:
Pd  0.678  0.591  0.591
Pd  0.322  0.913  0.913
Pd  0.000  0.409  0.087
Pd  0.000  0.087  0.409
Pd  0.678  0.087  0.087
Pd  0.322  0.409  0.409
Pd  0.000  0.913  0.591
Pd  0.000  0.591  0.913
Pt  0.000  0.000  0.000
Au  0.500  0.750  0.250
Au  0.500  0.250  0.750
Au  0.000  0.500  0.500

Values from the calculation:
The crystal system is tetragonal. The value obtained for the total magnetization is 0.00 Bohr magnetons per cell. As for the symmetry: No. 139.

***

Which is the most stable structure? run i is the most stable.

***

Run i
VASP calculation (PBE) on a relaxed structure of PdPtAu.

a b c (Å): 3.881 3.881 6.912
angles (deg): 90.00 90.00 90.00
Fractional coordinates of all 6 atoms:
Au  0.500  0.000  0.820
Au  0.000  0.500  0.180
Pd  0.500  0.000  0.208
Pd  0.000  0.500  0.792
Pt  0.500  0.500  0.500
Pt  0.000  0.000  0.500

Values from the calculation:
The crystal system is tetragonal. The value obtained for the total magnetization is 0.00 Bohr magnetons per cell. As for the symmetry: No. 129.

***

Run ii
VASP calculation (PBE) on a relaxed structure of PdPtAu.

a b c (Å): 2.834 2.834 7.031
angles (deg): 90.00 90.00 120.00
Fractional coordinates of all 3 atoms:
Au  0.333  0.667  0.003
Pd  0.000  0.000  0.337
Pt  0.667  0.333  0.660

Values from the calculation:
The crystal system is trigonal. The value obtained for the total magnetization is 0.00 Bohr magnetons per cell. As for the symmetry: No. 156.

***

Which is the most stable structure? run ii is the most stable.

***

Run i
VASP calculation (PBE) on a relaxed structure of PdPt3Au.

a b c (Å): 4.816 4.816 4.816
angles (deg): 90.00 90.00 90.00
Last column: magnetic moment on the atom in μB.
Fractional coordinates of all 5 atoms:
Au  0.500  0.500  0.500  0.01
Pd  0.000  0.000  0.000  0.17
Pt  0.000  0.500  0.000  0.06
Pt  0.000  0.000  0.500  0.14
Pt  0.500  0.000  0.000  0.03

Values from the calculation:
The crystal system is cubic. The value obtained for the total magnetization is 0.42 Bohr magnetons per cell. As for the symmetry: No. 221.

***

Run ii
VASP calculation (PBE) on a relaxed structure of PdPt3Au.

a b c (Å): 2.773 5.595 10.725
angles (deg): 87.29 90.00 75.65
Fractional coordinates of all 10 atoms:
Pd  0.232  0.536  0.789
Pd  0.768  0.464  0.211
Pt  0.174  0.652  0.411
Pt  0.368  0.265  0.017
Pt  0.036  0.928  0.181
Pt  0.826  0.348  0.589
Pt  0.964  0.072  0.819
Pt  0.632  0.735  0.983
Au  0.566  0.868  0.617
Au  0.434  0.132  0.383

Values from the calculation:
The crystal system is monoclinic. The value obtained for the total magnetization is 0.00 Bohr magnetons per cell. As for the symmetry: No. 12.

***

Which is the most stable structure? run ii is the most stable.

***

Run i
VASP calculation (PBE) on a relaxed structure of Pd8PtAu6.

a b c (Å): 5.169 7.616 7.616
angles (deg): 120.00 90.00 90.00
Fractional coordinates of all 15 atoms:
Pd  0.818  0.050  0.280
Pd  0.818  0.720  0.771
Pd  0.818  0.229  0.950
Pd  0.182  0.950  0.720
Pd  0.182  0.280  0.229
Pd  0.182  0.771  0.050
Pd  0.791  0.333  0.667
Pd  0.209  0.667  0.333
Pt  0.500  0.000  0.000
Au  0.696  0.644  0.101
Au  0.696  0.899  0.543
Au  0.696  0.457  0.356
Au  0.304  0.356  0.899
Au  0.304  0.101  0.457
Au  0.304  0.543  0.644

Values from the calculation:
The crystal system is trigonal. The value obtained for the total magnetization is 0.00 Bohr magnetons per cell. As for the symmetry: No. 147.

***

Run ii
VASP calculation (PBE) on a relaxed structure of Pd8PtAu6.

a b c (Å): 7.512 7.512 7.001
angles (deg): 57.55 57.55 60.00
Fractional coordinates of all 15 atoms:
Pd  0.587  0.162  0.381
Pd  0.838  0.130  0.619
Pd  0.130  0.413  0.619
Pd  0.753  0.753  0.741
Pd  0.247  0.247  0.259
Pd  0.870  0.587  0.381
Pd  0.162  0.870  0.381
Pd  0.413  0.838  0.619
Pt  0.000  0.000  0.000
Au  0.377  0.088  0.871
Au  0.912  0.335  0.129
Au  0.335  0.623  0.129
Au  0.665  0.377  0.871
Au  0.088  0.665  0.871
Au  0.623  0.912  0.129

Values from the calculation:
The crystal system is trigonal. The value obtained for the total magnetization is 0.00 Bohr magnetons per cell. As for the symmetry: No. 148.

***

Which is the most stable structure? run i is the most stable.

***

Run i
VASP calculation (PBE) on a relaxed structure of Pd8Pt2Au.

a b c (Å): 3.971 6.288 7.420
angles (deg): 75.09 74.48 90.00
Last column: magnetic moment on the atom in μB.
Fractional coordinates of all 11 atoms:
Pd  0.908  0.543  0.153  0.08
Pd  0.183  0.909  0.603  0.06
Pd  0.362  0.816  0.246  0.07
Pd  0.453  0.275  0.062  0.07
Pd  0.637  0.185  0.694  0.07
Pd  0.816  0.091  0.336  0.06
Pd  0.091  0.458  0.786  0.08
Pd  0.546  0.725  0.878  0.07
Pt  0.273  0.366  0.423  0.09
Pt  0.726  0.635  0.516  0.09
Au  0.000  0.000  0.970  0.01

Values from the calculation:
The crystal system is monoclinic. The value obtained for the total magnetization is 0.75 Bohr magnetons per cell. As for the symmetry: No. 12.

***

Run ii
VASP calculation (PBE) on a relaxed structure of Pd8Pt2Au.

a b c (Å): 4.892 7.403 7.128
angles (deg): 58.72 73.28 56.35
Fractional coordinates of all 11 atoms:
Pd  0.879  0.097  0.228
Pd  0.879  0.325  0.772
Pd  0.317  0.410  0.000
Pd  0.500  0.777  0.445
Pd  0.500  0.223  0.555
Pd  0.683  0.590  0.000
Pd  0.121  0.675  0.228
Pd  0.121  0.903  0.772
Pt  0.000  0.307  0.387
Pt  0.000  0.693  0.613
Au  0.500  0.000  0.000

Values from the calculation:
The crystal system is monoclinic. The value obtained for the total magnetization is 0.00 Bohr magnetons per cell. As for the symmetry: No. 12.

***

Which is the most stable structure? run i is the most stable.